Record 1
DyPuSe2: relaxed, PBE.

The space group is P4/nmm (No. 129, origin choice 2) and the conventional cell measures 4.107, 4.107 and 11.629 Å, with angles of 90.00, 90.00 and 90.00 degrees. The inequivalent atoms are Dy at (0.250, 0.250, 0.128), Pu at (0.250, 0.250, 0.628), Se at (0.250, 0.250, 0.376) and Se at (0.250, 0.250, 0.880).

The value obtained for the energy above the most stable polymorph in this dataset is 0.013 eV per atom. As for the total energy: -65.06 eV per cell. The uncorrected formation energy is -1.6562 eV per atom.

***

Record 2
NaGePbCl5: relaxed, PBE.

The space group is C2/c (No. 15) and the conventional cell measures 9.648, 12.412 and 9.484 Å, with angles of 90.00, 109.37 and 90.00 degrees. The inequivalent atoms are Na at (0.000, 0.020, 0.250), Ge at (0.000, 0.494, 0.250), Pb at (0.250, 0.250, 0.000), Cl at (0.000, 0.197, 0.750), Cl at (0.011, 0.359, 0.075) and Cl at (0.204, 0.036, 0.107).

As for the total energy: -111.78 eV per cell. The uncorrected formation energy is -1.1333 eV per atom.

***

Record 3
AlSb2Mo: relaxed, PBE.

The space group is I-42d (No. 122) and the conventional cell measures 6.402, 6.402 and 11.930 Å, with angles of 90.00, 90.00 and 90.00 degrees. The inequivalent atoms are Al at (0.000, 0.000, 0.000), Sb at (0.249, 0.250, 0.125) and Mo at (0.000, 0.000, 0.500).

As for the total energy: -82.40 eV per cell. The uncorrected formation energy is 0.5549 eV per atom.

***

Record 4
LaCo6Ge12: relaxed, PBE.

The space group is R-3m (No. 166, hexagonal axes) and the conventional cell measures 11.1503, 11.1503 and 8.3235 Å, with angles of 90.00, 90.00 and 120.00 degrees. The inequivalent atoms are La at (0.0000, 0.0000, 0.0000), Co at (0.0515, 0.5257, 0.2417), Ge at (0.0000, 0.3825, 0.5000) and Ge at (0.0863, 0.1727, 0.3196).

As for the total energy: -316.34 eV per cell.

***

Record 5
GaFeSiCl2: relaxed, PBE.

The space group is P4/mmm (No. 123) and the conventional cell measures 4.855, 4.855 and 5.134 Å, with angles of 90.00, 90.00 and 90.00 degrees. The inequivalent atoms are Ga at (0.000, 0.000, 0.000), Fe at (0.000, 0.000, 0.500), Si at (0.500, 0.500, 0.500) and Cl at (0.000, 0.500, 0.000).

As for the total energy: -16.95 eV per cell. The uncorrected formation energy is 0.7312 eV per atom.

***

Record 6
Ba8AuSe3I4: relaxed, PBE.

The space group is R-3m (No. 166, hexagonal axes) and the conventional cell measures 9.6280, 9.6280 and 24.6836 Å, with angles of 90.00, 90.00 and 120.00 degrees. The inequivalent atoms are Ba at (0.0000, 0.0000, 0.2375), Ba at (0.0016, 0.5008, 0.2380), Au at (0.0000, 0.0000, 0.5000), Se at (0.0000, 0.5000, 0.5000), I at (0.0000, 0.0000, 0.0000) and I at (0.0000, 0.5000, 0.0000).

As for the total energy: -179.27 eV per cell. The uncorrected formation energy is -1.5277 eV per atom.

***

Record 7
NpUGa: relaxed, PBE.

The space group is Pmmn (No. 59, origin choice 2) and the conventional cell measures 2.778, 4.735 and 8.713 Å, with angles of 90.00, 90.00 and 90.00 degrees. The inequivalent atoms are Np at (0.250, 0.250, 0.230), U at (0.250, 0.750, 0.102) and Ga at (0.250, 0.250, 0.579).

The value obtained for the energy above the most stable polymorph in this dataset is 0.128 eV per atom. As for the total energy: -54.14 eV per cell.

***

Record 8
Na3Bi2Pt3: relaxed, PBE.

The space group is Cmcm (No. 63) and the conventional cell measures 4.643, 11.085 and 14.864 Å, with angles of 90.00, 90.00 and 90.00 degrees. The inequivalent atoms are Na at (0.000, 0.066, 0.117), Na at (0.000, 0.361, 0.250), Bi at (0.000, 0.226, 0.595), Pt at (0.000, 0.352, 0.750) and Pt at (0.000, 0.394, 0.042).

As for the total energy: -127.53 eV per cell.

***

Record 9
AlZn5Cu8: relaxed, PBE.

The space group is I-4 (No. 82) and the conventional cell measures 7.169, 7.169 and 7.529 Å, with angles of 90.00, 90.00 and 90.00 degrees. The inequivalent atoms are Al at (0.000, 0.000, 0.000), Zn at (0.000, 0.500, 0.250), Zn at (0.122, 0.292, 0.668), Cu at (0.070, 0.165, 0.349) and Cu at (0.104, 0.327, 0.999).

As for the total energy: -83.99 eV per cell.

***

Record 10
Pr2Dy: relaxed, PBE.

The space group is Fd-3m (No. 227, origin choice 2) and the conventional cell measures 9.510, 9.510 and 9.510 Å, with angles of 90.00, 90.00 and 90.00 degrees. The inequivalent atoms are Pr at (0.000, 0.000, 0.000) and Dy at (0.125, 0.125, 0.625).

The value obtained for the energy above the most stable polymorph in this dataset is 0.245 eV per atom. As for the total energy: -106.85 eV per cell.

***

Record 11
TiPbI2: relaxed, PBE.

The space group is Fm-3m (No. 225) and the conventional cell measures 7.737, 7.737 and 7.737 Å, with angles of 90.00, 90.00 and 90.00 degrees. The inequivalent atoms are Ti at (0.000, 0.000, 0.000), Pb at (0.000, 0.000, 0.500) and I at (0.250, 0.250, 0.250).

The value obtained for the energy above the most stable polymorph in this dataset is 0.491 eV per atom. As for the total energy: -55.21 eV per cell. The uncorrected formation energy is 0.2253 eV per atom.

***

Record 12
YSc2Tc2: relaxed, PBE.

The space group is P4/mbm (No. 127) and the conventional cell measures 7.706, 7.706 and 3.378 Å, with angles of 90.00, 90.00 and 90.00 degrees. The inequivalent atoms are Y at (0.000, 0.000, 0.000), Sc at (0.143, 0.357, 0.500) and Tc at (0.152, 0.652, 0.000).

The value obtained for the energy above the most stable polymorph in this dataset is 0.000 eV per atom. As for the total energy: -79.64 eV per cell.